w | An optimized crystal structure of ZrAlTc, computed with GGA-PBE.

Cell lengths 5.5650, 5.5650, 6.4012 Å; angles 108.60, 108.60, 33.85 degrees
Closest atoms and distances in Å follow each position.
Sites, in units of the cell vectors:
Zr1 0.0009 0.0009 0.2562  4 Tc 2.76-2.92, 5 Al 2.92-3.08
Zr2 0.9991 0.9991 0.7438  4 Tc 2.76-2.92, 5 Al 2.92-3.08
Al1 0.3063 0.3063 0.3750  2 Tc 2.60, 2 Al 2.81
Al2 0.6937 0.6937 0.6250  2 Tc 2.60, 2 Al 2.81
Tc1 0.3354 0.3354 0.9319  2 Al 2.60, 4 Zr 2.76-2.92, 2 Tc 2.78
Tc2 0.6646 0.6646 0.0681  2 Al 2.60, 4 Zr 2.76-2.92, 2 Tc 2.78

## Properties
Calculated volume = 17.4 A^3/atom



x | An optimized crystal structure of ZrAlTc, computed with GGA-PBE.

Cell lengths 4.3991, 4.3991, 4.3991 Å; angles 119.94, 119.94, 90.10 degrees
Closest atoms and distances in Å follow each position.
Sites, in units of the cell vectors:
Zr1 0.0000 0.0000 0.0000  4 Tc 2.69
Al1 0.5000 0.5000 0.0000  4 Tc 2.69
Tc1 0.2500 0.7500 0.5000  4 Zr 2.69, 4 Al 2.69

## Properties
Calculated volume = 20.1 A^3/atom



Quick one: least stable of them? x



w | An optimized crystal structure of SiAgP, computed with GGA-PBE.

Cell lengths 5.3855, 5.3855, 5.3855 Å; angles 144.75, 144.75, 50.70 degrees
Closest atoms and distances in Å follow each position.
Sites, in units of the cell vectors:
Si1 0.0000 0.0000 0.0000  4 P 2.41
Ag1 0.2961 0.2961 0.0000  1 P 2.70, 1 Si 2.88
P1 0.5735 0.5735 0.0000  4 Si 2.41, 1 Ag 2.70

## Properties
Calculated volume = 17.3 A^3/atom



x | An optimized crystal structure of SiAgP, computed with GGA-PBE.

Cell lengths 3.4036, 3.4036, 5.2941 Å; angles 90.00, 90.00, 120.00 degrees
Closest atoms and distances in Å follow each position.
Sites, in units of the cell vectors:
Si1 0.0000 0.0000 0.0000  3 P 2.29
Ag1 0.6667 0.3333 0.3711  3 Si 2.78, 3 P 2.91
P1 0.3333 0.6667 0.7772  3 Si 2.29

## Properties
Calculated volume = 17.7 A^3/atom



Quick one: least stable of them? w